[1]
# KAg2Se PBE relaxed
# Electronic total energy in eV/atom: -2.52
# Total magnetic moment in μB/f.u.: 0.0
# E_form (uncorrected) in eV per atom: 0.05
data_KAg2Se
_chemical_formula_sum 'K1 Ag2 Se1'
_space_group_name_H-M_alt 'P 1'
_space_group_IT_number 1
_cell_length_a 2.972
_cell_length_b 5.239
_cell_length_c 6.063
_cell_angle_alpha 90.00
_cell_angle_beta 90.00
_cell_angle_gamma 90.00
loop_
_space_group_symop_operation_xyz
'x,y,z'
loop_
_atom_site_label
_atom_site_type_symbol
_atom_site_fract_x
_atom_site_fract_y
_atom_site_fract_z
_atom_site_occupancy
K1 K 0.000 0.000 0.000 1
Ag1 Ag 0.500 0.500 0.257 1
Ag2 Ag 0.500 0.500 0.743 1
Se1 Se 0.000 0.000 0.500 1

***

[2]
# Mo2Ru PBE relaxed
# Formation enthalpy at 0 K in eV/atom: 0.407
# Electronic total energy in eV/atom: -9.91
# Excess energy over the best structure of this formula in the dataset in eV per atom: 0.400
# Total magnetic moment in μB/f.u.: 0.0
data_Mo2Ru
_chemical_formula_sum 'Mo6 Ru3'
_space_group_name_H-M_alt 'P 1'
_space_group_IT_number 1
_cell_length_a 6.445
_cell_length_b 6.445
_cell_length_c 4.048
_cell_angle_alpha 90.00
_cell_angle_beta 90.00
_cell_angle_gamma 120.00
loop_
_space_group_symop_operation_xyz
'x,y,z'
loop_
_atom_site_label
_atom_site_type_symbol
_atom_site_fract_x
_atom_site_fract_y
_atom_site_fract_z
_atom_site_occupancy
Mo1 Mo 0.000 0.254 0.000 1
Mo2 Mo 0.000 0.581 0.500 1
Mo3 Mo 0.254 0.000 0.000 1
Mo4 Mo 0.419 0.419 0.500 1
Mo5 Mo 0.581 0.000 0.500 1
Mo6 Mo 0.746 0.746 0.000 1
Ru1 Ru 0.000 0.000 0.500 1
Ru2 Ru 0.333 0.667 0.000 1
Ru3 Ru 0.667 0.333 0.000 1

***

[3]
# YScMn PBE relaxed
# Formation enthalpy at 0 K in eV/atom: 0.114
# Electronic total energy in eV/atom: -7.21
# Excess energy over the best structure of this formula in the dataset in eV per atom: 0.000
# Total magnetic moment in μB/f.u.: 1.4
data_YScMn
_chemical_formula_sum 'Y4 Sc4 Mn4'
_space_group_name_H-M_alt 'P 1'
_space_group_IT_number 1
_cell_length_a 6.735
_cell_length_b 6.735
_cell_length_c 7.434
_cell_angle_alpha 90.00
_cell_angle_beta 90.00
_cell_angle_gamma 124.56
loop_
_space_group_symop_operation_xyz
'x,y,z'
loop_
_atom_site_label
_atom_site_type_symbol
_atom_site_fract_x
_atom_site_fract_y
_atom_site_fract_z
_atom_site_occupancy
Y1 Y 0.193 0.807 0.895 1
Y2 Y 0.307 0.693 0.395 1
Y3 Y 0.693 0.307 0.605 1
Y4 Y 0.807 0.193 0.105 1
Sc1 Sc 0.201 0.299 0.750 1
Sc2 Sc 0.299 0.201 0.250 1
Sc3 Sc 0.701 0.799 0.750 1
Sc4 Sc 0.799 0.701 0.250 1
Mn1 Mn 0.093 0.907 0.549 1
Mn2 Mn 0.407 0.593 0.049 1
Mn3 Mn 0.593 0.407 0.951 1
Mn4 Mn 0.907 0.093 0.451 1

***

[4]
# LiTeAs2 PBE relaxed
# Electronic total energy in eV/atom: -3.77
# Total magnetic moment in μB/f.u.: 0.0
# E_form (uncorrected) in eV per atom: -0.18
data_LiTeAs2
_chemical_formula_sum 'Li1 Te1 As2'
_space_group_name_H-M_alt 'P 1'
_space_group_IT_number 1
_cell_length_a 3.664
_cell_length_b 3.855
_cell_length_c 6.703
_cell_angle_alpha 90.00
_cell_angle_beta 90.00
_cell_angle_gamma 90.00
loop_
_space_group_symop_operation_xyz
'x,y,z'
loop_
_atom_site_label
_atom_site_type_symbol
_atom_site_fract_x
_atom_site_fract_y
_atom_site_fract_z
_atom_site_occupancy
Li1 Li 0.000 0.000 0.000 1
Te1 Te 0.500 0.500 0.871 1
As1 As 0.000 0.000 0.392 1
As2 As 0.500 0.500 0.479 1

***

[5]
# Ga2PdPt2 PBE relaxed
# Formation enthalpy at 0 K in eV/atom: -0.380
# Electronic total energy in eV/atom: -5.05
# Excess energy over the best structure of this formula in the dataset in eV per atom: 0.215
# Total magnetic moment in μB/f.u.: 0.0
data_Ga2PdPt2
_chemical_formula_sum 'Ga2 Pd1 Pt2'
_space_group_name_H-M_alt 'P 1'
_space_group_IT_number 1
_cell_length_a 6.128
_cell_length_b 6.128
_cell_length_c 6.128
_cell_angle_alpha 142.46
_cell_angle_beta 142.46
_cell_angle_gamma 54.13
loop_
_space_group_symop_operation_xyz
'x,y,z'
loop_
_atom_site_label
_atom_site_type_symbol
_atom_site_fract_x
_atom_site_fract_y
_atom_site_fract_z
_atom_site_occupancy
Ga1 Ga 0.109 0.109 0.000 1
Ga2 Ga 0.891 0.891 0.000 1
Pd1 Pd 0.500 0.500 0.000 1
Pt1 Pt 0.250 0.750 0.500 1
Pt2 Pt 0.750 0.250 0.500 1

***

[6]
# LuHfCuAg PBE relaxed
# Formation enthalpy at 0 K in eV/atom: -0.075
# Electronic total energy in eV/atom: -5.43
# Total magnetic moment in μB/f.u.: 0.0
data_LuHfCuAg
_chemical_formula_sum 'Lu1 Hf1 Cu1 Ag1'
_space_group_name_H-M_alt 'P 1'
_space_group_IT_number 1
_cell_length_a 4.821
_cell_length_b 4.821
_cell_length_c 4.821
_cell_angle_alpha 60.00
_cell_angle_beta 60.00
_cell_angle_gamma 60.00
loop_
_space_group_symop_operation_xyz
'x,y,z'
loop_
_atom_site_label
_atom_site_type_symbol
_atom_site_fract_x
_atom_site_fract_y
_atom_site_fract_z
_atom_site_occupancy
Lu1 Lu 0.000 0.000 0.000 1
Hf1 Hf 0.500 0.500 0.500 1
Cu1 Cu 0.750 0.750 0.750 1
Ag1 Ag 0.250 0.250 0.250 1

***

Question: The highest total magnetic moment belongs to which entry?
Answer: YScMn